## B2MoW2 (PBE)

Data for a relaxed B2MoW2 crystal.

Computed properties:
- ΔE to the lowest computed polymorph (meV per atom) = 0
- DOS at the Fermi energy (states/eV/cell) = 5.87

Unit cell a=6.0542 b=6.0542 c=3.1732 alpha=90.00 beta=90.00 gamma=90.00
Last column: nearest neighbours and their distance in Å.
Atoms (fractional coordinates):
B: 0.1152 0.3849 0.0000  1 B 1.97
B: 0.3849 0.8848 0.0000  1 B 1.97
B: 0.6152 0.1152 0.0000  1 B 1.97
B: 0.8848 0.6152 0.0000  1 B 1.97
Mo: 0.0000 0.0000 0.0000  4 B 2.43
Mo: 0.5000 0.5000 0.0000  4 B 2.43
W: 0.1709 0.6709 0.5000  6 B 2.37-2.42
W: 0.3291 0.1709 0.5000  6 B 2.37-2.42
W: 0.6709 0.8291 0.5000  6 B 2.37-2.42
W: 0.8291 0.3291 0.5000  6 B 2.37-2.42